1.
This record from Alexandria describes an optimized crystal structure of KCoAu2. The functional is GGA-PBE.

Unit cell a=4.8478 b=4.8478 c=4.8478 alpha=60.00 beta=60.00 gamma=60.00
Last column: magnetic moment on the atom in μB.
Fractional positions:
1 Au 0.0000 0.0000 0.0000  0.00
2 Co 0.5000 0.5000 0.5000  1.86
3 K 0.7500 0.7500 0.7500  0.00
4 Au 0.2500 0.2500 0.2500  0.01

Symmetry   F-43m
Total magnetic moment   1.8 Bohr magnetons per cell


2.
This record from Alexandria describes an optimized crystal structure of Ca3YIr. The functional is GGA-PBE.

Unit cell a=5.5624 b=5.5624 c=5.5624 alpha=90.00 beta=90.00 gamma=90.00
Last column: magnetic moment on the atom in μB.
Fractional positions:
1 Ir 0.5000 0.5000 0.5000  0.93
2 Y 0.0000 0.0000 0.0000  1.08
3 Ca 0.0000 0.0000 0.5000  0.28
4 Ca 0.0000 0.5000 0.0000  0.19
5 Ca 0.5000 0.0000 0.0000  0.09

Symmetry   Pm-3m
Total magnetic moment   3.6 Bohr magnetons per cell


Computed values of density of states at the Fermi level (unit: states/eV per cell) for the preceding records, in sequence: 8.92 6.12.
Computed values of calculated formation energy (unit: eV/atom) for the preceding records, in sequence: 0.63 1.65.
Computed values of E above lowest polymorph (unit: meV per atom) for the preceding records, in sequence: 441 1629.